[1]
# Tb2PPd8

An optimized crystal structure of Tb2PPd8 (PBE, OQMD via LeMat-Bulk).

abc: 4.349 9.056 9.056
angles: 146.33 90.00 90.00
Element x y z (fractional)
Tb (0.000, 0.121, 0.879)
Tb (0.000, 0.879, 0.121)
P (0.500, 0.756, 0.756)
Pd (0.000, 0.290, 0.697)
Pd (0.000, 0.543, 0.543)
Pd (0.000, 0.697, 0.290)
Pd (0.500, 0.180, 0.180)
Pd (0.500, 0.416, 0.959)
Pd (0.500, 0.427, 0.653)
Pd (0.500, 0.653, 0.427)
Pd (0.500, 0.959, 0.416)

Results
DFT total energy = -5.82 eV per atom
Symmetry = No. 38

=====

[2]
# MgCdSeO

An optimized crystal structure of MgCdSeO (PBE, OQMD via LeMat-Bulk).

abc: 3.636 3.636 12.591
angles: 90.00 90.00 120.00
Element x y z (fractional)
Mg (0.333, 0.667, 0.000)
Mg (0.667, 0.333, 0.500)
Cd (0.000, 0.000, 0.219)
Cd (0.000, 0.000, 0.719)
Se (0.333, 0.667, 0.346)
Se (0.667, 0.333, 0.846)
O (0.000, 0.000, 0.048)
O (0.000, 0.000, 0.548)

Results
Distance to the lowest polymorph of the same formula = 266 meV/atom
Symmetry = No. 186

=====

[3]
# Rb2ZrSe3

An optimized crystal structure of Rb2ZrSe3 (PBE, OQMD via LeMat-Bulk).

abc: 8.377 4.089 10.995
angles: 90.00 96.29 90.00
Element x y z (fractional)
Rb (0.082, 0.250, 0.144)
Rb (0.247, 0.750, 0.478)
Rb (0.753, 0.250, 0.522)
Rb (0.918, 0.750, 0.856)
Zr (0.402, 0.250, 0.832)
Zr (0.598, 0.750, 0.168)
Se (0.134, 0.250, 0.699)
Se (0.317, 0.750, 0.986)
Se (0.457, 0.250, 0.285)
Se (0.543, 0.750, 0.715)
Se (0.683, 0.250, 0.014)
Se (0.866, 0.750, 0.301)

Results
DFT total energy = -4.80 eV per atom
Symmetry = No. 11

=====

[4]
# Zn2CuWN4

An optimized crystal structure of Zn2CuWN4 (PBE, OQMD via LeMat-Bulk).

abc: 2.928 2.928 10.650
angles: 90.00 90.00 120.00
Element x y z (fractional)
Zn (0.000, 0.000, 0.238)
Zn (0.000, 0.000, 0.762)
Cu (0.667, 0.333, 0.000)
W (0.333, 0.667, 0.500)
N (0.333, 0.667, 0.119)
N (0.333, 0.667, 0.881)
N (0.667, 0.333, 0.381)
N (0.667, 0.333, 0.619)

Results
DFT total energy = -6.21 eV per atom
Symmetry = No. 187

=====

[5]
# Re2Bi

An optimized crystal structure of Re2Bi (PBE, OQMD via LeMat-Bulk).

abc: 9.097 9.097 9.097
angles: 60.00 60.00 60.00
Element x y z (fractional)
Re (0.000, 0.000, 0.000)
Re (0.000, 0.000, 0.500)
Re (0.000, 0.500, 0.000)
Re (0.500, 0.000, 0.000)
Bi (0.125, 0.125, 0.125)
Bi (0.875, 0.875, 0.875)

Results
Distance to the lowest polymorph of the same formula = 3218 meV/atom
Symmetry = No. 227

=====

[6]
# Y4Al3W2N3

An optimized crystal structure of Y4Al3W2N3 (PBE, OQMD via LeMat-Bulk).

abc: 5.789 5.789 14.216
angles: 101.70 101.70 60.56
Element x y z (fractional)
Y (0.035, 0.197, 0.100)
Y (0.127, 0.303, 0.400)
Y (0.197, 0.035, 0.600)
Y (0.303, 0.127, 0.900)
Y (0.697, 0.873, 0.100)
Y (0.803, 0.965, 0.400)
Y (0.873, 0.697, 0.600)
Y (0.965, 0.803, 0.900)
Al (0.159, 0.841, 0.250)
Al (0.327, 0.415, 0.752)
Al (0.415, 0.327, 0.252)
Al (0.585, 0.673, 0.748)
Al (0.673, 0.585, 0.248)
Al (0.841, 0.159, 0.750)
W (0.350, 0.525, 0.076)
W (0.475, 0.650, 0.424)
W (0.525, 0.350, 0.576)
W (0.650, 0.475, 0.924)
N (0.000, 0.500, 0.000)
N (0.185, 0.657, 0.500)
N (0.343, 0.815, 0.000)
N (0.500, 0.000, 0.500)
N (0.657, 0.185, 0.000)
N (0.815, 0.343, 0.500)

Results
DFT total energy = -8.06 eV per atom
Symmetry = No. 15

=====

[7]
# Al2CoCu5

An optimized crystal structure of Al2CoCu5 (PBE, OQMD via LeMat-Bulk).

abc: 4.059 4.059 5.853
angles: 90.00 90.00 90.00
Element x y z (fractional)
Al (0.000, 0.000, 0.000)
Al (0.500, 0.500, 0.500)
Co (0.000, 0.000, 0.500)
Cu (0.000, 0.500, 0.252)
Cu (0.000, 0.500, 0.748)
Cu (0.500, 0.000, 0.252)
Cu (0.500, 0.000, 0.748)
Cu (0.500, 0.500, 0.000)

Results
Distance to the lowest polymorph of the same formula = 0 meV/atom
Symmetry = No. 123

=====

[8]
# PaFe2

An optimized crystal structure of PaFe2 (PBE, OQMD via LeMat-Bulk).

abc: 4.994 4.994 4.994
angles: 60.00 60.00 60.00
Element x y z (fractional)
Pa (0.125, 0.125, 0.125)
Pa (0.875, 0.875, 0.875)
Fe (0.000, 0.500, 0.500)
Fe (0.500, 0.000, 0.500)
Fe (0.500, 0.500, 0.000)
Fe (0.500, 0.500, 0.500)

Results
Formation enthalpy at 0 K = -20.1 kJ per mole of atoms
Symmetry = No. 227

=====

[9]
# Ho4InCo2Si4

An optimized crystal structure of Ho4InCo2Si4 (PBE, OQMD via LeMat-Bulk).

abc: 7.846 7.846 6.895
angles: 107.26 107.26 30.59
Element x y z (fractional)
Ho (0.088, 0.088, 0.384)
Ho (0.155, 0.155, 0.940)
Ho (0.845, 0.845, 0.060)
Ho (0.912, 0.912, 0.616)
In (0.500, 0.500, 0.000)
Co (0.280, 0.280, 0.374)
Co (0.720, 0.720, 0.626)
Si (0.291, 0.291, 0.723)
Si (0.433, 0.433, 0.348)
Si (0.567, 0.567, 0.652)
Si (0.709, 0.709, 0.277)

Results
DFT total energy = -5.93 eV per atom
Symmetry = No. 12

=====

[10]
# AcTmAsO

An optimized crystal structure of AcTmAsO (PBE, OQMD via LeMat-Bulk).

abc: 4.535 4.535 8.988
angles: 90.00 90.00 90.00
Element x y z (fractional)
Ac (0.250, 0.750, 0.000)
Ac (0.750, 0.250, 0.000)
Tm (0.250, 0.250, 0.432)
Tm (0.750, 0.750, 0.568)
As (0.250, 0.250, 0.768)
As (0.750, 0.750, 0.232)
O (0.250, 0.750, 0.500)
O (0.750, 0.250, 0.500)

Results
Distance to the lowest polymorph of the same formula = 456 meV/atom
Symmetry = No. 129

=====

[11]
# LaGeAu2O

An optimized crystal structure of LaGeAu2O (PBE, OQMD via LeMat-Bulk).

abc: 5.837 5.837 5.837
angles: 134.90 134.90 65.69
Element x y z (fractional)
La (0.000, 0.000, 0.000)
Ge (0.750, 0.250, 0.500)
Au (0.365, 0.365, 0.000)
Au (0.635, 0.635, 0.000)
O (0.250, 0.750, 0.500)

Results
DFT total energy = -4.74 eV per atom
Symmetry = No. 119

=====

[12]
# ThSnSb

An optimized crystal structure of ThSnSb (PBE, OQMD via LeMat-Bulk).

abc: 5.262 5.262 5.262
angles: 60.00 60.00 60.00
Element x y z (fractional)
Th (0.000, 0.000, 0.000)
Sn (0.250, 0.250, 0.250)
Sb (0.750, 0.750, 0.750)

Results
Distance to the lowest polymorph of the same formula = 0 meV/atom
Symmetry = No. 216